1.
Compound: La6ZnCd2
Source: the Alexandria database
Functional: GGA-PBE
Structure: optimized geometry Values from VASP.

Quantum ESPRESSO input file:
```
&SYSTEM
  ibrav = 0, nat = 18, ntyp = 3
/
ATOMIC_SPECIES
La 138.91 La.upf
Zn 65.41 Zn.upf
Cd 112.41 Cd.upf
CELL_PARAMETERS angstrom
6.577 0.000 0.000
0.000 8.840 0.000
-5.129 0.000 10.031
ATOMIC_POSITIONS crystal
La 0.086 0.059 0.227
La 0.086 0.441 0.727
La 0.162 0.715 0.058
La 0.162 0.785 0.558
La 0.405 0.157 0.035
La 0.405 0.343 0.535
La 0.595 0.657 0.465
La 0.595 0.843 0.965
La 0.838 0.215 0.442
La 0.838 0.285 0.942
La 0.914 0.559 0.273
La 0.914 0.941 0.773
Zn 0.500 0.000 0.500
Zn 0.500 0.500 0.000
Cd 0.343 0.102 0.726
Cd 0.343 0.398 0.226
Cd 0.657 0.602 0.774
Cd 0.657 0.898 0.274
```

Values from the calculation:
**Relative energy among the computed polymorphs**: 63.5 meV per atom
**M_tot**: 0.00 μB per formula unit
**E_tot**: -3.739 eV per atom
**Energy of formation from the pure elements**: -110 meV per atom

2.
Compound: LaZnCd4
Source: the Alexandria database
Functional: GGA-PBE
Structure: optimized geometry Values from VASP.

Quantum ESPRESSO input file:
```
&SYSTEM
  ibrav = 0, nat = 12, ntyp = 3
/
ATOMIC_SPECIES
La 138.91 La.upf
Zn 65.41 Zn.upf
Cd 112.41 Cd.upf
CELL_PARAMETERS angstrom
2.272 -8.536 0.000
2.272 8.536 0.000
0.000 0.000 7.342
ATOMIC_POSITIONS crystal
La 0.127 0.873 0.750
La 0.873 0.127 0.250
Zn 0.233 0.767 0.250
Zn 0.767 0.233 0.750
Cd 0.070 0.930 0.250
Cd 0.323 0.677 0.554
Cd 0.323 0.677 0.946
Cd 0.500 0.500 0.000
Cd 0.500 0.500 0.500
Cd 0.677 0.323 0.054
Cd 0.677 0.323 0.446
Cd 0.930 0.070 0.750
```

Values from the calculation:
**Relative energy among the computed polymorphs**: 0.0 meV per atom
**M_tot**: 0.00 μB per formula unit
**E_tot**: -1.886 eV per atom
**Energy of formation from the pure elements**: -242 meV per atom

3.
Compound: La12ZnCd3
Source: the Alexandria database
Functional: GGA-PBE
Structure: optimized geometry Values from VASP.

Quantum ESPRESSO input file:
```
&SYSTEM
  ibrav = 0, nat = 16, ntyp = 3
/
ATOMIC_SPECIES
La 138.91 La.upf
Zn 65.41 Zn.upf
Cd 112.41 Cd.upf
CELL_PARAMETERS angstrom
5.838 0.000 0.000
0.000 5.838 0.000
0.000 0.000 15.081
ATOMIC_POSITIONS crystal
La 0.000 0.000 0.000
La 0.000 0.000 0.249
La 0.000 0.000 0.500
La 0.000 0.000 0.751
La 0.000 0.500 0.120
La 0.000 0.500 0.374
La 0.000 0.500 0.626
La 0.000 0.500 0.880
La 0.500 0.000 0.120
La 0.500 0.000 0.374
La 0.500 0.000 0.626
La 0.500 0.000 0.880
Zn 0.500 0.500 0.000
Cd 0.500 0.500 0.248
Cd 0.500 0.500 0.500
Cd 0.500 0.500 0.752
```

Values from the calculation:
**M_tot**: 0.00 μB per formula unit
**E_tot**: -4.037 eV per atom
**Energy of formation from the pure elements**: -91 meV per atom

4.
Compound: La8Zn2Cd
Source: the Alexandria database
Functional: GGA-PBE
Structure: optimized geometry Values from VASP.

Quantum ESPRESSO input file:
```
&SYSTEM
  ibrav = 0, nat = 11, ntyp = 3
/
ATOMIC_SPECIES
La 138.91 La.upf
Zn 65.41 Zn.upf
Cd 112.41 Cd.upf
CELL_PARAMETERS angstrom
-2.565 4.398 7.605
2.565 -4.398 7.605
2.565 4.398 -7.605
ATOMIC_POSITIONS crystal
La 0.123 0.342 0.781
La 0.146 0.146 0.000
La 0.331 0.000 0.331
La 0.439 0.658 0.781
La 0.561 0.342 0.219
La 0.669 0.000 0.669
La 0.854 0.854 0.000
La 0.877 0.658 0.219
Zn 0.303 0.803 0.500
Zn 0.697 0.197 0.500
Cd 0.000 0.500 0.500
```

Values from the calculation:
**Relative energy among the computed polymorphs**: 41.1 meV per atom
**M_tot**: 0.00 μB per formula unit
**E_tot**: -4.005 eV per atom
**Energy of formation from the pure elements**: -107 meV per atom

5.
Compound: LaZn2Cd
Source: the Alexandria database
Functional: GGA-PBE
Structure: optimized geometry Values from VASP.

Quantum ESPRESSO input file:
```
&SYSTEM
  ibrav = 0, nat = 4, ntyp = 3
/
ATOMIC_SPECIES
La 138.91 La.upf
Zn 65.41 Zn.upf
Cd 112.41 Cd.upf
CELL_PARAMETERS angstrom
-1.658 2.672 5.861
1.658 -2.672 5.861
1.658 2.672 -5.861
ATOMIC_POSITIONS crystal
La 0.000 0.000 0.000
Zn 0.271 0.271 0.000
Zn 0.729 0.729 0.000
Cd 0.500 0.500 0.000
```

Values from the calculation:
**M_tot**: 0.00 μB per formula unit
**E_tot**: -1.892 eV per atom
**Energy of formation from the pure elements**: 206 meV per atom

6.
Compound: La5Zn2Cd
Source: the Alexandria database
Functional: GGA-PBE
Structure: optimized geometry Values from VASP.

Quantum ESPRESSO input file:
```
&SYSTEM
  ibrav = 0, nat = 16, ntyp = 3
/
ATOMIC_SPECIES
La 138.91 La.upf
Zn 65.41 Zn.upf
Cd 112.41 Cd.upf
CELL_PARAMETERS angstrom
-4.373 4.373 6.352
4.373 -4.373 6.352
4.373 4.373 -6.352
ATOMIC_POSITIONS crystal
La 0.000 0.000 0.000
La 0.007 0.507 0.806
La 0.201 0.007 0.500
La 0.299 0.799 0.806
La 0.493 0.299 0.500
La 0.500 0.500 0.000
La 0.507 0.701 0.500
La 0.701 0.201 0.194
La 0.799 0.993 0.500
La 0.993 0.493 0.194
Zn 0.143 0.357 0.500
Zn 0.357 0.857 0.213
Zn 0.643 0.143 0.787
Zn 0.857 0.643 0.500
Cd 0.250 0.250 0.000
Cd 0.750 0.750 0.000
```

Values from the calculation:
**M_tot**: 0.00 μB per formula unit
**E_tot**: -3.737 eV per atom
**Energy of formation from the pure elements**: -225 meV per atom

7.
Compound: La3Zn4Cd2
Source: the Alexandria database
Functional: GGA-PBE
Structure: optimized geometry Values from VASP.

Quantum ESPRESSO input file:
```
&SYSTEM
  ibrav = 0, nat = 9, ntyp = 3
/
ATOMIC_SPECIES
La 138.91 La.upf
Zn 65.41 Zn.upf
Cd 112.41 Cd.upf
CELL_PARAMETERS angstrom
5.530 -2.422 0.000
5.530 2.422 0.000
-3.996 0.000 8.179
ATOMIC_POSITIONS crystal
La 0.000 0.000 0.000
La 0.335 0.335 0.326
La 0.665 0.665 0.674
Zn 0.059 0.059 0.399
Zn 0.274 0.274 0.947
Zn 0.726 0.726 0.053
Zn 0.941 0.941 0.601
Cd 0.382 0.382 0.715
Cd 0.618 0.618 0.285
```

Values from the calculation:
**M_tot**: 0.00 μB per formula unit
**E_tot**: -2.749 eV per atom
**Energy of formation from the pure elements**: -337 meV per atom

8.
Compound: LaZnCd2
Source: the Alexandria database
Functional: GGA-PBE
Structure: optimized geometry Values from VASP.

Quantum ESPRESSO input file:
```
&SYSTEM
  ibrav = 0, nat = 4, ntyp = 3
/
ATOMIC_SPECIES
La 138.91 La.upf
Zn 65.41 Zn.upf
Cd 112.41 Cd.upf
CELL_PARAMETERS angstrom
3.532 0.000 0.000
0.000 3.532 0.000
0.000 0.000 7.730
ATOMIC_POSITIONS crystal
La 0.000 0.000 0.000
Zn 0.500 0.500 0.264
Cd 0.000 0.000 0.464
Cd 0.500 0.500 0.701
```

Values from the calculation:
**M_tot**: 0.00 μB per formula unit
**E_tot**: -2.185 eV per atom
**Energy of formation from the pure elements**: -177 meV per atom

9.
Compound: La4Zn3Cd2
Source: the Alexandria database
Functional: GGA-PBE
Structure: optimized geometry Values from VASP.

Quantum ESPRESSO input file:
```
&SYSTEM
  ibrav = 0, nat = 9, ntyp = 3
/
ATOMIC_SPECIES
La 138.91 La.upf
Zn 65.41 Zn.upf
Cd 112.41 Cd.upf
CELL_PARAMETERS angstrom
5.237 -2.565 0.000
5.237 2.565 0.000
-2.821 0.000 8.900
ATOMIC_POSITIONS crystal
La 0.065 0.065 0.353
La 0.351 0.351 0.097
La 0.649 0.649 0.903
La 0.935 0.935 0.647
Zn 0.000 0.000 0.000
Zn 0.372 0.372 0.445
Zn 0.628 0.628 0.555
Cd 0.272 0.272 0.718
Cd 0.728 0.728 0.282
```

Values from the calculation:
**M_tot**: 0.00 μB per formula unit
**E_tot**: -3.098 eV per atom
**Energy of formation from the pure elements**: -280 meV per atom

10.
Compound: La2ZnCd
Source: the Alexandria database
Functional: GGA-PBE
Structure: optimized geometry Values from VASP.

Quantum ESPRESSO input file:
```
&SYSTEM
  ibrav = 0, nat = 4, ntyp = 3
/
ATOMIC_SPECIES
La 138.91 La.upf
Zn 65.41 Zn.upf
Cd 112.41 Cd.upf
CELL_PARAMETERS angstrom
3.877 0.000 0.000
0.000 5.435 0.000
0.000 0.000 5.436
ATOMIC_POSITIONS crystal
La 0.000 0.000 0.000
La 0.000 0.500 0.496
Zn 0.500 0.500 0.995
Cd 0.500 0.000 0.501
```

Values from the calculation:
**Relative energy among the computed polymorphs**: 25.9 meV per atom
**M_tot**: 0.00 μB per formula unit
**E_tot**: -3.314 eV per atom
**Energy of formation from the pure elements**: -303 meV per atom

11.
Compound: La2ZnCd
Source: the Alexandria database
Functional: GGA-PBE
Structure: optimized geometry Values from VASP.

Quantum ESPRESSO input file:
```
&SYSTEM
  ibrav = 0, nat = 4, ntyp = 3
/
ATOMIC_SPECIES
La 138.91 La.upf
Zn 65.41 Zn.upf
Cd 112.41 Cd.upf
CELL_PARAMETERS angstrom
0.000 3.758 3.758
3.758 0.000 3.758
3.758 3.758 0.000
ATOMIC_POSITIONS crystal
La 0.000 0.000 0.000
La 0.250 0.250 0.250
Zn 0.500 0.500 0.500
Cd 0.750 0.750 0.750
```

Values from the calculation:
**Relative energy among the computed polymorphs**: 339.1 meV per atom
**M_tot**: 1.47 μB per formula unit
**E_tot**: -3.001 eV per atom
**Energy of formation from the pure elements**: 10 meV per atom

12.
Compound: La2ZnCd
Source: the Alexandria database
Functional: GGA-PBE
Structure: optimized geometry Values from VASP.

Quantum ESPRESSO input file:
```
&SYSTEM
  ibrav = 0, nat = 4, ntyp = 3
/
ATOMIC_SPECIES
La 138.91 La.upf
Zn 65.41 Zn.upf
Cd 112.41 Cd.upf
CELL_PARAMETERS angstrom
-1.875 1.885 8.826
1.875 -1.885 8.826
1.875 1.885 -8.826
ATOMIC_POSITIONS crystal
La 0.172 0.172 0.000
La 0.828 0.828 0.000
Zn 0.000 0.000 0.000
Cd 0.500 0.500 0.000
```

Values from the calculation:
**Relative energy among the computed polymorphs**: 446.1 meV per atom
**M_tot**: 0.00 μB per formula unit
**E_tot**: -2.894 eV per atom
**Energy of formation from the pure elements**: 117 meV per atom